A geometry-optimized BC3 structure. Source: the Alexandria database, functional PBE.

Cell and atoms, written as POSCAR:
```
BC3
1.0
5.7788 -1.2584 0.0000
5.7788 1.2584 0.0000
-1.1584 0.0000 5.1054
B C
3 9
Direct
0.0000 0.0000 0.0000
0.3442 0.3442 0.1707
0.6113 0.6113 0.0548
0.0141 0.0141 0.5085
0.2582 0.2582 0.3947
0.2621 0.2621 0.8680
0.3491 0.3491 0.6658
0.5956 0.5956 0.5522
0.6833 0.6833 0.3580
0.6849 0.6849 0.8263
0.9261 0.9261 0.7028
0.9357 0.9357 0.2338
```

Summary:
As for the formation energy from the elements: 0.299 eV/atom. The calculation puts the energy above the most stable polymorph in this dataset at 23 kJ/mol of formula units. The calculation puts the magnetization at 0.00 μB per cell. The calculated total energy is -8.29 eV per atom. Its symmetry is Cm (8).